1.
Sc3NbIr | GGA-PBE | optimized geometry

Unit cell a=4.830 b=4.830 c=4.830 alpha=90.00 beta=90.00 gamma=90.00
Positions (direct):
Sc  0.000  0.000  0.500
Sc  0.000  0.500  0.000
Sc  0.500  0.000  0.000
Nb  0.000  0.000  0.000
Ir  0.500  0.500  0.500

Computed properties:
- Energy of formation: 0.874 eV per atom
- SG: Pm-3m

2.
CsPdN | GGA-PBE | optimized geometry

Unit cell a=6.983 b=6.983 c=6.389 alpha=106.45 beta=106.45 gamma=31.83
Positions (direct):
Cs  0.097  0.097  0.311
Cs  0.903  0.903  0.689
Pd  0.332  0.332  0.139
Pd  0.668  0.668  0.861
N  0.159  0.159  0.846
N  0.841  0.841  0.154

Computed properties:
- Raw formation energy: 0.301 eV per atom
- SG: C2/m

3.
CsKAlAg2 | GGA-PBE | optimized geometry

Unit cell a=6.323 b=6.323 c=6.669 alpha=90.00 beta=90.00 gamma=90.00
Positions (direct):
Cs  0.000  0.000  0.000
K  0.000  0.000  0.500
Al  0.500  0.500  0.500
Ag  0.000  0.500  0.000
Ag  0.500  0.000  0.000

Computed properties:
- Energy of formation: 1.041 eV per atom
- SG: P4/mmm

4.
InSnNO2 | GGA-PBE | optimized geometry

Unit cell a=3.809 b=3.809 c=8.355 alpha=90.00 beta=90.00 gamma=90.00
Positions (direct):
In  0.000  0.000  0.000
Sn  0.000  0.000  0.500
N  0.500  0.500  0.000
O  0.000  0.500  0.500
O  0.500  0.000  0.500

Computed properties:
- Raw formation energy: 0.321 eV per atom
- SG: P4/mmm

Summary of magnetic moment in μB/cell
0.00 0.00 0.00 0.52
(order as listed above)